No. 1
VASP calculation (PBE-GGA) on a relaxed Tb3Zn2Ni7 crystal.

Output
Spin magnetization in μB/f.u.: 0.00
DFT total energy in eV/cell: -181.955

a b c (Å): 5.1093 5.1093 23.9843
angles (deg): 90.00 90.00 120.00
Space group R-3m (No. 166, hexagonal axes)
Asymmetric unit:
Tb 0.0000 0.0000 0.0000 (multiplicity 3)
Tb 0.0000 0.0000 0.1394 (multiplicity 6)
Zn 0.0000 0.0000 0.3331 (multiplicity 6)
Ni 0.0000 0.0000 0.5000 (multiplicity 3)
Ni 0.0002 0.5001 0.0833 (multiplicity 18)

---

No. 2
VASP calculation (PBE-GGA) on a relaxed Be2PdF4 crystal.

Output
DFT total energy in eV/cell: -60.957

a b c (Å): 6.156 6.963 3.369
angles (deg): 90.00 90.00 90.00
Space group Cmmm (No. 65)
Asymmetric unit:
Be 0.250 0.250 0.000 (multiplicity 4)
Pd 0.000 0.000 0.500 (multiplicity 2)
F 0.000 0.300 0.000 (multiplicity 4)
F 0.183 0.500 0.500 (multiplicity 4)

---

No. 3
VASP calculation (PBE-GGA) on a relaxed DyHo2Zn3Ir2Pt crystal.

Output
Spin magnetization in μB/f.u.: 0.00
DFT total energy in eV/cell: -97.036

a b c (Å): 3.902 12.389 7.144
angles (deg): 90.00 90.00 90.00
Space group Amm2 (No. 38)
Asymmetric unit:
Dy 0.000 0.000 0.000 (multiplicity 2)
Ho 0.000 0.205 0.385 (multiplicity 4)
Zn 0.500 0.000 0.338 (multiplicity 2)
Zn 0.500 0.126 0.716 (multiplicity 4)
Ir 0.500 0.167 0.090 (multiplicity 4)
Pt 0.000 0.000 0.589 (multiplicity 2)

---

No. 4
VASP calculation (PBE-GGA) on a relaxed SrBeCo crystal.

Output
Spin magnetization in μB/f.u.: 1.23
DFT total energy in eV/cell: -31.516

a b c (Å): 6.731 6.731 6.731
angles (deg): 90.00 90.00 90.00
Space group F-43m (No. 216)
Asymmetric unit:
Sr 0.000 0.000 0.000 (multiplicity 4)
Be 0.250 0.250 0.750 (multiplicity 4)
Co 0.250 0.250 0.250 (multiplicity 4)

---

No. 5
VASP calculation (PBE-GGA) on a relaxed TbDy2CoSn3Ir2 crystal.

Output
Spin magnetization in μB/f.u.: 0.01
DFT total energy in eV/cell: -114.727

a b c (Å): 3.798 13.064 7.533
angles (deg): 90.00 90.00 90.00
Space group Amm2 (No. 38)
Asymmetric unit:
Tb 0.000 0.000 0.000 (multiplicity 2)
Dy 0.000 0.203 0.609 (multiplicity 4)
Co 0.000 0.000 0.406 (multiplicity 2)
Sn 0.500 0.000 0.659 (multiplicity 2)
Sn 0.500 0.127 0.280 (multiplicity 4)
Ir 0.500 0.167 0.906 (multiplicity 4)

---

No. 6
VASP calculation (PBE-GGA) on a relaxed GdTlHg crystal.

Output
Spin magnetization in μB/f.u.: 0.01
DFT total energy in eV/cell: -30.009

a b c (Å): 7.184 7.184 7.184
angles (deg): 90.00 90.00 90.00
Space group F-43m (No. 216)
Asymmetric unit:
Gd 0.000 0.000 0.000 (multiplicity 4)
Tl 0.250 0.250 0.250 (multiplicity 4)
Hg 0.250 0.250 0.750 (multiplicity 4)

---

No. 7
VASP calculation (PBE-GGA) on a relaxed HgSe crystal.

Output
DFT total energy in eV/cell: -27.830

a b c (Å): 5.570 5.584 12.412
angles (deg): 90.00 90.00 90.00
Space group Cmce (No. 64)
Asymmetric unit:
Hg 0.000 0.250 0.041 (multiplicity 8)
Se 0.250 0.014 0.250 (multiplicity 8)

---

No. 8
VASP calculation (PBE-GGA) on a relaxed GaAsW crystal.

Output
Spin magnetization in μB/f.u.: 0.00
DFT total energy in eV/cell: -74.263

a b c (Å): 6.033 6.033 6.033
angles (deg): 90.00 90.00 90.00
Space group F-43m (No. 216)
Asymmetric unit:
Ga 0.000 0.000 0.000 (multiplicity 4)
As 0.250 0.250 0.250 (multiplicity 4)
W 0.000 0.000 0.500 (multiplicity 4)

---

No. 9
VASP calculation (PBE-GGA) on a relaxed Re5B crystal.

Output
Spin magnetization in μB/f.u.: 0.00
DFT total energy in eV/cell: -61.467

a b c (Å): 4.8957 4.8957 4.7245
angles (deg): 90.00 90.00 120.00
Space group P6/mmm (No. 191)
Asymmetric unit:
Re 0.0000 0.5000 0.0000 (multiplicity 3)
Re 0.3333 0.6667 0.5000 (multiplicity 2)
B 0.0000 0.0000 0.5000 (multiplicity 1)

---

No. 10
VASP calculation (PBE-GGA) on a relaxed LiYFeGe2 crystal.

Output
Spin magnetization in μB/f.u.: 2.46
DFT total energy in eV/cell: -56.600

a b c (Å): 4.018 4.018 10.660
angles (deg): 90.00 90.00 90.00
Space group I-4m2 (No. 119)
Asymmetric unit:
Li 0.000 0.000 0.000 (multiplicity 2)
Y 0.000 0.500 0.250 (multiplicity 2)
Fe 0.000 0.000 0.500 (multiplicity 2)
Ge 0.000 0.500 0.631 (multiplicity 4)

---

No. 11
VASP calculation (PBE-GGA) on a relaxed Nb2FeSn2Pt crystal.

Output
Spin magnetization in μB/f.u.: 0.00
DFT total energy in eV/cell: -179.315

a b c (Å): 6.155 6.155 12.179
angles (deg): 90.00 90.00 90.00
Space group I-42d (No. 122)
Asymmetric unit:
Nb 0.232 0.750 0.125 (multiplicity 8)
Fe 0.000 0.000 0.000 (multiplicity 4)
Sn 0.239 0.250 0.125 (multiplicity 8)
Pt 0.000 0.000 0.500 (multiplicity 4)

---

No. 12
VASP calculation (PBE-GGA) on a relaxed K5Cu4 crystal.

Output
DFT total energy in eV/cell: -35.146

a b c (Å): 11.882 4.996 11.222
angles (deg): 90.00 113.44 90.00
Space group C2/m (No. 12)
Asymmetric unit:
K 0.000 0.000 0.000 (multiplicity 2)
K 0.110 0.000 0.402 (multiplicity 4)
K 0.250 0.000 0.822 (multiplicity 4)
Cu 0.060 0.500 0.815 (multiplicity 4)
Cu 0.082 0.500 0.608 (multiplicity 4)

---

Question: Which formula does entry 4 have?
Answer: SrBeCo

---

Copy entry 8 word for word.
VASP calculation (PBE-GGA) on a relaxed GaAsW crystal.

Output
Spin magnetization in μB/f.u.: 0.00
DFT total energy in eV/cell: -74.263

a b c (Å): 6.033 6.033 6.033
angles (deg): 90.00 90.00 90.00
Space group F-43m (No. 216)
Asymmetric unit:
Ga 0.000 0.000 0.000 (multiplicity 4)
As 0.250 0.250 0.250 (multiplicity 4)
W 0.000 0.000 0.500 (multiplicity 4)

---

Question: DFT total energy of number 5 (TbDy2CoSn3Ir2)?
Answer: -114.727 eV/cell

---

What did the first record say?
VASP calculation (PBE-GGA) on a relaxed Tb3Zn2Ni7 crystal.

Output
Spin magnetization in μB/f.u.: 0.00
DFT total energy in eV/cell: -181.955

a b c (Å): 5.1093 5.1093 23.9843
angles (deg): 90.00 90.00 120.00
Space group R-3m (No. 166, hexagonal axes)
Asymmetric unit:
Tb 0.0000 0.0000 0.0000 (multiplicity 3)
Tb 0.0000 0.0000 0.1394 (multiplicity 6)
Zn 0.0000 0.0000 0.3331 (multiplicity 6)
Ni 0.0000 0.0000 0.5000 (multiplicity 3)
Ni 0.0002 0.5001 0.0833 (multiplicity 18)